## Ac2MnPbO5 (GGA+U)

Data for a geometry-optimized Ac2MnPbO5 structure.

Cell and atoms, written as CIF:
```
data_Ac2MnPbO5
_space_group_name_H-M_alt 'P 1'
_space_group_IT_number 1
_space_group_name_Hall 'P 1'
_cell_length_a 9.0630
_cell_length_b 9.0630
_cell_length_c 10.3104
_cell_angle_alpha 90.00
_cell_angle_beta 90.00
_cell_angle_gamma 157.10
loop_
_atom_site_label
_atom_site_type_symbol
_atom_site_fract_x
_atom_site_fract_y
_atom_site_fract_z
Ac1 Ac 0.1396 0.8604 0.5000
Ac2 Ac 0.1673 0.8327 0.1148
Ac3 Ac 0.8327 0.1673 0.6148
Ac4 Ac 0.8604 0.1396 0.0000
Mn1 Mn 0.2086 0.7914 0.8107
Mn2 Mn 0.7914 0.2086 0.3107
Pb1 Pb 0.4711 0.5289 0.3229
Pb2 Pb 0.5289 0.4711 0.8229
O1 O 0.0982 0.9018 0.8928
O2 O 0.2796 0.7204 0.4774
O3 O 0.3050 0.6950 0.1680
O4 O 0.3290 0.6710 0.7912
O5 O 0.4542 0.5458 0.9964
O6 O 0.5458 0.4542 0.4964
O7 O 0.6710 0.3290 0.2912
O8 O 0.6950 0.3050 0.6680
O9 O 0.7204 0.2796 0.9774
O10 O 0.9018 0.0982 0.3928
```

Computed properties:
- VASP energy (eV per formula unit) = -64.88
- total moment (μB/f.u.) = 5.00
- space-group type = Cmc2_1


## NaCr2F6 (GGA+U)

Data for a geometry-optimized NaCr2F6 structure.

Cell and atoms, written as CIF:
```
data_NaCr2F6
_space_group_name_H-M_alt 'P 1'
_space_group_IT_number 1
_space_group_name_Hall 'P 1'
_cell_length_a 5.4541
_cell_length_b 5.4541
_cell_length_c 4.8166
_cell_angle_alpha 90.00
_cell_angle_beta 90.00
_cell_angle_gamma 120.00
loop_
_atom_site_label
_atom_site_type_symbol
_atom_site_fract_x
_atom_site_fract_y
_atom_site_fract_z
Na1 Na 0.0000 0.0000 0.0000
Cr1 Cr 0.3333 0.6667 0.5000
Cr2 Cr 0.6667 0.3333 0.5000
F1 F 0.0000 0.3614 0.7173
F2 F 0.0000 0.6386 0.2827
F3 F 0.3614 0.0000 0.7173
F4 F 0.3614 0.3614 0.2827
F5 F 0.6386 0.0000 0.2827
F6 F 0.6386 0.6386 0.7173
```

Computed properties:
- VASP energy (eV per formula unit) = -51.31
- total moment (μB/f.u.) = 7.00
- space-group type = P-31m